VASP calculation (PBE) on a geometry-optimized TbErSc2Bi4 structure. Values from VASP.

Values from the calculation:
DFT formation energy in eV/atom: -0.749
Total magnetic moment in μB/atom: 0.0000
Symmetry: P2/m
E_tot in eV per formula unit: -43.4

Cell and atoms, written as Quantum ESPRESSO input:
```
&SYSTEM
  ibrav = 0, nat = 8, ntyp = 4
/
ATOMIC_SPECIES
Tb 158.93 Tb.upf
Er 167.26 Er.upf
Sc 44.96 Sc.upf
Bi 208.98 Bi.upf
CELL_PARAMETERS angstrom
7.564 0.000 0.000
0.000 4.371 0.000
-2.524 0.000 7.138
ATOMIC_POSITIONS crystal
Tb 0.000 0.000 0.000
Er 0.000 0.500 0.500
Sc 0.500 0.000 0.500
Sc 0.500 0.500 0.000
Bi 0.264 0.000 0.753
Bi 0.265 0.500 0.256
Bi 0.735 0.500 0.744
Bi 0.736 0.000 0.247
```